No. 1
{"formula": "Sr3Zr", "functional": "PBE", "state": "optimized geometry", "lattice": [[-2.773, 2.773, 5.457], [2.773, -2.773, 5.457], [2.773, 2.773, -5.457]], "species": ["Sr", "Sr", "Sr", "Zr"], "fractional_positions": [[0.000, 0.000, 0.000], [0.250, 0.750, 0.500], [0.750, 0.250, 0.500], [0.500, 0.500, 0.000]], "relative_energy_ev_per_atom": 0.191, "sg": "I4/mmm (139)"}

No. 2
{"formula": "SrZr2", "functional": "PBE", "state": "optimized geometry", "lattice": [[6.107, -2.851, 0.000], [6.107, 2.851, 0.000], [0.000, 0.000, 5.209]], "species": ["Sr", "Sr", "Zr", "Zr", "Zr", "Zr"], "fractional_positions": [[0.215, 0.785, 0.750], [0.785, 0.215, 0.250], [0.143, 0.454, 0.250], [0.454, 0.143, 0.750], [0.546, 0.857, 0.250], [0.857, 0.546, 0.750]], "relative_energy_ev_per_atom": 0.030, "sg": "Cmcm (63)"}

No. 3
{"formula": "SrZr3", "functional": "PBE", "state": "optimized geometry", "lattice": [[0.000, 3.745, 3.745], [3.745, 0.000, 3.745], [3.745, 3.745, 0.000]], "species": ["Sr", "Zr", "Zr", "Zr"], "fractional_positions": [[0.000, 0.000, 0.000], [0.250, 0.250, 0.250], [0.500, 0.500, 0.500], [0.750, 0.750, 0.750]], "e_tot_ev_per_cell": -25.021, "sg": "Fm-3m (225)"}

No. 4
{"formula": "SrZr", "functional": "PBE", "state": "optimized geometry", "lattice": [[1.721, 0.994, 6.081], [-1.721, 0.994, 6.081], [0.000, -1.987, 6.081]], "species": ["Sr", "Zr"], "fractional_positions": [[0.000, 0.000, 0.000], [0.500, 0.500, 0.500]], "relative_energy_ev_per_atom": 0.329, "sg": "R-3m (166)"}

No. 5
{"formula": "Sr7Zr6", "functional": "PBE", "state": "optimized geometry", "lattice": [[3.413, 1.970, 11.281], [-3.413, 1.970, 11.281], [0.000, -3.941, 11.281]], "species": ["Sr", "Sr", "Sr", "Sr", "Sr", "Sr", "Sr", "Zr", "Zr", "Zr", "Zr", "Zr", "Zr"], "fractional_positions": [[0.000, 0.000, 0.000], [0.088, 0.088, 0.574], [0.088, 0.574, 0.088], [0.426, 0.912, 0.912], [0.574, 0.088, 0.088], [0.912, 0.426, 0.912], [0.912, 0.912, 0.426], [0.166, 0.166, 0.166], [0.365, 0.365, 0.365], [0.461, 0.461, 0.461], [0.539, 0.539, 0.539], [0.635, 0.635, 0.635], [0.834, 0.834, 0.834]], "e_tot_ev_per_cell": -50.195, "sg": "R-3m (166)"}

No. 6
{"formula": "SrZr3", "functional": "PBE", "state": "optimized geometry", "lattice": [[5.198, 0.000, 0.000], [0.000, 6.568, 0.000], [0.000, 0.000, 6.761]], "species": ["Sr", "Sr", "Zr", "Zr", "Zr", "Zr", "Zr", "Zr"], "fractional_positions": [[0.250, 0.250, 0.111], [0.750, 0.750, 0.889], [0.250, 0.009, 0.600], [0.250, 0.491, 0.600], [0.250, 0.750, 0.235], [0.750, 0.250, 0.765], [0.750, 0.509, 0.400], [0.750, 0.991, 0.400]], "e_tot_ev_per_cell": -51.578, "sg": "Pmmn (59)"}

No. 7
{"formula": "SrZr", "functional": "PBE", "state": "optimized geometry", "lattice": [[1.785, -7.466, 0.000], [1.785, 7.466, 0.000], [0.000, 0.000, 5.104]], "species": ["Sr", "Sr", "Zr", "Zr"], "fractional_positions": [[0.165, 0.835, 0.750], [0.835, 0.165, 0.250], [0.459, 0.541, 0.750], [0.541, 0.459, 0.250]], "relative_energy_ev_per_atom": 0.149, "sg": "Cmcm (63)"}

No. 8
{"formula": "SrZr", "functional": "PBE", "state": "optimized geometry", "lattice": [[3.449, 0.000, 0.000], [0.000, 3.449, 0.000], [0.000, 0.000, 11.458]], "species": ["Sr", "Sr", "Zr", "Zr"], "fractional_positions": [[0.250, 0.250, 0.156], [0.750, 0.750, 0.844], [0.250, 0.250, 0.583], [0.750, 0.750, 0.417]], "relative_energy_ev_per_atom": 0.030, "sg": "P4/nmm (129)"}

No. 9
{"formula": "SrZr3", "functional": "PBE", "state": "optimized geometry", "lattice": [[6.859, 0.000, 0.000], [-3.430, 5.940, 0.000], [0.000, 0.000, 5.349]], "species": ["Sr", "Sr", "Zr", "Zr", "Zr", "Zr", "Zr", "Zr"], "fractional_positions": [[0.333, 0.667, 0.250], [0.667, 0.333, 0.750], [0.153, 0.305, 0.750], [0.153, 0.847, 0.750], [0.305, 0.153, 0.250], [0.695, 0.847, 0.750], [0.847, 0.153, 0.250], [0.847, 0.695, 0.250]], "e_tot_ev_per_cell": -51.230, "sg": "P6_3/mmc (194)"}

No. 10
{"formula": "SrZr", "functional": "PBE", "state": "optimized geometry", "lattice": [[3.591, 0.000, 0.000], [-1.795, 3.110, 0.000], [0.000, 0.000, 11.869]], "species": ["Sr", "Sr", "Zr", "Zr"], "fractional_positions": [[0.333, 0.667, 0.152], [0.667, 0.333, 0.848], [0.333, 0.667, 0.595], [0.667, 0.333, 0.405]], "relative_energy_ev_per_atom": 0.089, "sg": "P-3m1 (164)"}

No. 11
{"formula": "SrZr3", "functional": "PBE", "state": "optimized geometry", "lattice": [[3.356, 0.000, 0.000], [-1.678, 2.906, 0.000], [0.000, 0.000, 11.142]], "species": ["Sr", "Zr", "Zr", "Zr"], "fractional_positions": [[0.000, 0.000, 0.000], [0.000, 0.000, 0.500], [0.667, 0.333, 0.279], [0.667, 0.333, 0.721]], "e_tot_ev_per_cell": -26.127, "sg": "P-6m2 (187)"}

No. 12
{"formula": "Sr3Zr", "functional": "PBE", "state": "optimized geometry", "lattice": [[6.201, 3.580, 1.234], [-6.201, 3.580, 1.234], [0.000, -7.160, 1.234]], "species": ["Sr", "Sr", "Sr", "Zr"], "fractional_positions": [[0.000, 0.500, 0.500], [0.500, 0.000, 0.500], [0.500, 0.500, 0.000], [0.000, 0.000, 0.000]], "relative_energy_ev_per_atom": 0.204, "sg": "R-3m (166)"}

No. 13
{"formula": "SrZr3", "functional": "PBE", "state": "optimized geometry", "lattice": [[5.290, -1.611, 0.000], [5.290, 1.611, 0.000], [-0.581, 0.000, 6.617]], "species": ["Sr", "Zr", "Zr", "Zr"], "fractional_positions": [[0.000, 0.000, 0.000], [0.237, 0.237, 0.690], [0.500, 0.500, 0.500], [0.763, 0.763, 0.310]], "e_tot_ev_per_cell": -25.959, "sg": "C2/m (12)"}

No. 14
{"formula": "Sr2Zr", "functional": "PBE", "state": "optimized geometry", "lattice": [[-1.820, 1.820, 17.337], [1.820, -1.820, 17.337], [1.820, 1.820, -17.337]], "species": ["Sr", "Sr", "Sr", "Sr", "Zr", "Zr"], "fractional_positions": [[0.303, 0.553, 0.750], [0.447, 0.697, 0.750], [0.553, 0.303, 0.250], [0.697, 0.447, 0.250], [0.125, 0.875, 0.250], [0.875, 0.125, 0.750]], "relative_energy_ev_per_atom": 0.160, "sg": "I4_1/amd (141)"}

No. 15
{"formula": "SrZr3", "functional": "PBE", "state": "optimized geometry", "lattice": [[3.288, 0.000, 0.000], [0.000, 3.288, 0.000], [0.000, 0.000, 10.285]], "species": ["Sr", "Zr", "Zr", "Zr"], "fractional_positions": [[0.000, 0.000, 0.000], [0.000, 0.000, 0.500], [0.500, 0.500, 0.295], [0.500, 0.500, 0.705]], "e_tot_ev_per_cell": -26.237, "sg": "P4/mmm (123)"}

No. 16
{"formula": "Sr2Zr", "functional": "PBE", "state": "optimized geometry", "lattice": [[6.569, -1.912, 0.000], [6.569, 1.912, 0.000], [-3.787, 0.000, 9.574]], "species": ["Sr", "Sr", "Sr", "Sr", "Zr", "Zr"], "fractional_positions": [[0.012, 0.012, 0.191], [0.336, 0.336, 0.392], [0.664, 0.664, 0.608], [0.988, 0.988, 0.809], [0.292, 0.292, 0.928], [0.708, 0.708, 0.072]], "relative_energy_ev_per_atom": 0.000, "sg": "C2/m (12)"}

No. 17
{"formula": "SrZr2", "functional": "PBE", "state": "optimized geometry", "lattice": [[9.585, 0.000, 0.000], [-4.792, 8.301, 0.000], [0.000, 0.000, 3.095]], "species": ["Sr", "Sr", "Sr", "Zr", "Zr", "Zr", "Zr", "Zr", "Zr"], "fractional_positions": [[0.000, 0.000, 0.000], [0.333, 0.667, 0.500], [0.667, 0.333, 0.500], [0.000, 0.337, 0.500], [0.000, 0.654, 0.000], [0.337, 0.000, 0.500], [0.346, 0.346, 0.000], [0.654, 0.000, 0.000], [0.663, 0.663, 0.500]], "relative_energy_ev_per_atom": 0.220, "sg": "P-62m (189)"}

No. 18
{"formula": "SrZr", "functional": "PBE", "state": "optimized geometry", "lattice": [[1.778, 1.027, 12.069], [-1.778, 1.027, 12.069], [0.000, -2.053, 12.069]], "species": ["Sr", "Sr", "Zr", "Zr"], "fractional_positions": [[0.116, 0.116, 0.116], [0.884, 0.884, 0.884], [0.365, 0.365, 0.365], [0.635, 0.635, 0.635]], "relative_energy_ev_per_atom": 0.133, "sg": "R-3m (166)"}

No. 19
{"formula": "SrZr", "functional": "PBE", "state": "optimized geometry", "lattice": [[1.981, -2.713, 0.000], [1.981, 2.713, 0.000], [0.000, 0.000, 5.976]], "species": ["Sr", "Zr"], "fractional_positions": [[0.000, 0.000, 0.000], [0.500, 0.500, 0.500]], "relative_energy_ev_per_atom": 0.361, "sg": "Cmmm (65)"}

No. 20
{"formula": "Sr2Zr", "functional": "PBE", "state": "optimized geometry", "lattice": [[3.180, -8.328, 0.000], [3.180, 8.328, 0.000], [0.000, 0.000, 4.708]], "species": ["Sr", "Sr", "Sr", "Sr", "Zr", "Zr"], "fractional_positions": [[0.085, 0.915, 0.750], [0.293, 0.707, 0.250], [0.707, 0.293, 0.750], [0.915, 0.085, 0.250], [0.464, 0.536, 0.750], [0.536, 0.464, 0.250]], "relative_energy_ev_per_atom": 0.068, "sg": "Cmcm (63)"}

No. 21
{"formula": "Sr3Zr", "functional": "PBE", "state": "optimized geometry", "lattice": [[3.795, 0.000, 0.000], [0.000, 6.301, 0.000], [0.000, 0.000, 6.939]], "species": ["Sr", "Sr", "Sr", "Zr"], "fractional_positions": [[0.000, 0.000, 0.000], [0.000, 0.500, 0.325], [0.500, 0.000, 0.535], [0.500, 0.500, 0.823]], "relative_energy_ev_per_atom": 0.173, "sg": "Pmm2 (25)"}

No. 22
{"formula": "Sr4Zr", "functional": "PBE", "state": "optimized geometry", "lattice": [[6.227, 0.000, 0.000], [0.000, 6.227, 0.000], [0.000, 0.000, 6.227]], "species": ["Sr", "Sr", "Sr", "Sr", "Zr"], "fractional_positions": [[0.000, 0.000, 0.000], [0.000, 0.500, 0.500], [0.500, 0.000, 0.500], [0.500, 0.500, 0.000], [0.500, 0.500, 0.500]], "e_tot_ev_per_cell": -12.210, "sg": "Pm-3m (221)"}

No. 23
{"formula": "SrZr2", "functional": "PBE", "state": "optimized geometry", "lattice": [[3.392, 0.000, 0.000], [-1.696, 2.938, 0.000], [0.000, 0.000, 8.680]], "species": ["Sr", "Zr", "Zr"], "fractional_positions": [[0.000, 0.000, 0.000], [0.333, 0.667, 0.363], [0.667, 0.333, 0.637]], "relative_energy_ev_per_atom": 0.074, "sg": "P-3m1 (164)"}

No. 24
{"formula": "Sr2Zr", "functional": "PBE", "state": "optimized geometry", "lattice": [[-1.836, 2.702, 5.780], [1.836, -2.702, 5.780], [1.836, 2.702, -5.780]], "species": ["Sr", "Sr", "Zr"], "fractional_positions": [[0.159, 0.159, 0.000], [0.841, 0.841, 0.000], [0.500, 0.500, 0.000]], "relative_energy_ev_per_atom": 0.229, "sg": "Immm (71)"}

No. 25
{"formula": "Sr3Zr", "functional": "PBE", "state": "optimized geometry", "lattice": [[3.829, 0.000, 0.000], [0.000, 3.829, 0.000], [0.000, 0.000, 11.301]], "species": ["Sr", "Sr", "Sr", "Zr"], "fractional_positions": [[0.000, 0.000, 0.000], [0.500, 0.500, 0.291], [0.500, 0.500, 0.709], [0.000, 0.000, 0.500]], "relative_energy_ev_per_atom": 0.087, "sg": "P4/mmm (123)"}

No. 26
{"formula": "Sr3Zr", "functional": "PBE", "state": "optimized geometry", "lattice": [[0.000, 4.355, 4.355], [4.355, 0.000, 4.355], [4.355, 4.355, 0.000]], "species": ["Sr", "Sr", "Sr", "Zr"], "fractional_positions": [[0.000, 0.000, 0.000], [0.250, 0.250, 0.250], [0.750, 0.750, 0.750], [0.500, 0.500, 0.500]], "relative_energy_ev_per_atom": 0.222, "sg": "Fm-3m (225)"}

No. 27
{"formula": "Sr3Zr", "functional": "PBE", "state": "optimized geometry", "lattice": [[1.919, 1.108, 12.859], [-1.919, 1.108, 12.859], [0.000, -2.216, 12.859]], "species": ["Sr", "Sr", "Sr", "Zr"], "fractional_positions": [[0.000, 0.000, 0.000], [0.239, 0.239, 0.239], [0.761, 0.761, 0.761], [0.500, 0.500, 0.500]], "relative_energy_ev_per_atom": 0.115, "sg": "R-3m (166)"}

No. 28
{"formula": "TbTa2", "functional": "PBE", "state": "optimized geometry", "lattice": [[0.000, 4.049, 4.049], [4.049, 0.000, 4.049], [4.049, 4.049, 0.000]], "species": ["Tb", "Tb", "Ta", "Ta", "Ta", "Ta"], "fractional_positions": [[0.125, 0.125, 0.125], [0.875, 0.875, 0.875], [0.000, 0.500, 0.500], [0.500, 0.000, 0.500], [0.500, 0.500, 0.000], [0.500, 0.500, 0.500]], "e_tot_ev_per_cell": -55.052, "sg": "Fd-3m (227)"}

No. 29
{"formula": "TbTa4", "functional": "PBE", "state": "optimized geometry", "lattice": [[4.838, 0.000, 0.000], [0.000, 4.838, 0.000], [0.000, 0.000, 4.838]], "species": ["Tb", "Ta", "Ta", "Ta", "Ta"], "fractional_positions": [[0.000, 0.000, 0.000], [0.000, 0.000, 0.500], [0.000, 0.500, 0.000], [0.500, 0.000, 0.000], [0.500, 0.500, 0.500]], "e_tot_ev_per_cell": -40.122, "sg": "Pm-3m (221)"}